An optimized crystal structure of LuRhAu. Source: Alexandria, functional PBE.

Cell and atoms, written as extended XYZ:
```
3
Lattice="-0.5528 -3.1005 1.0160 3.7136 -1.3922 -2.2280 0.3212 1.3611 4.3287" Properties=species:S:1:pos:R:3 pbc="T T T"
Rh 1.3596 -0.0746 2.3129
Au -0.0920 -0.5158 0.1690
Lu 2.2143 -2.5412 0.6348
```

Size of the total moment in Bohr magnetons per cell: 0.00
Density in kg/m3: 13295
Relative energy among the computed polymorphs in meV/atom: 100.6
Space-group type: No. 187